## LaC2Cl (GGA-PBEsol)

Data for a geometry-optimized LaC2Cl structure.

Symmetry ... No. 141
Excess energy over the best structure of this formula in the dataset ... 0 meV/atom
Calculated total energy ... -43.58 eV per cell
Formation energy without anion corrections ... 4.85 eV per formula unit

```
LaC2Cl
1.0
-3.399 1.573 -0.588
-1.618 -3.424 0.194
1.462 1.913 8.881
C La Cl
4 2 2
Cartesian
-1.635 1.134 6.366
-3.174 -1.535 2.022
0.065 0.347 6.660
-2.366 0.177 1.925
-1.332 -1.218 4.439
0.000 0.000 0.000
-2.509 -0.926 -0.197
-2.223 1.280 4.048
```



## YCu2 (GGA-PBEsol)

Data for a geometry-optimized YCu2 structure.

Symmetry ... No. 71
Energy of formation ... -153 meV/atom
Calculated total energy ... -31.90 eV per cell

```
YCu2
1.0
3.741 0.000 0.000
0.000 5.416 0.000
-1.870 -2.708 5.188
Cu Y
4 2
Cartesian
1.870 0.000 4.015
0.000 2.708 1.173
1.870 1.450 0.000
1.870 3.966 0.000
0.000 0.000 1.824
1.870 2.708 3.364
```



## Cs2LaBr5 (GGA-PBEsol)

Data for a geometry-optimized Cs2LaBr5 structure.

Symmetry ... No. 62
Calculated total energy ... -128.27 eV per cell
Formation energy without anion corrections ... -15.49 eV per formula unit

```
Cs2LaBr5
1.0
-4.509 -3.350 6.876
-0.578 -8.387 -4.465
12.151 -4.033 6.003
Br Cs La
20 8 4
Cartesian
8.019 -6.527 6.149
1.242 -8.365 6.301
7.500 -13.299 8.789
4.172 -11.963 6.711
-1.012 -5.951 0.267
7.762 -10.910 4.267
2.965 -7.943 -0.684
5.821 -7.405 2.113
8.314 -6.366 9.985
4.261 -5.511 4.727
-0.955 -9.243 2.264
1.481 -4.912 8.139
4.098 -7.827 9.098
5.583 -10.858 0.274
-0.436 -2.471 -0.376
-0.699 -4.861 4.147
8.076 -9.819 8.147
2.802 -10.259 3.686
2.891 -3.807 1.702
-1.250 -9.405 -1.572
9.479 -7.839 3.188
5.292 -8.735 5.738
-2.135 -3.872 7.386
1.772 -7.035 2.675
5.572 -4.676 7.899
9.199 -11.898 1.027
-2.415 -7.931 5.225
1.492 -11.094 0.514
9.082 -12.209 6.537
5.684 -4.368 2.396
1.379 -11.402 6.017
-2.019 -3.561 1.877
```



## AlB2Pb6O7F7 (GGA-PBEsol)

Data for a geometry-optimized AlB2Pb6O7F7 structure.

Symmetry ... No. 36
Calculated total energy ... -284.66 eV per cell
Formation energy without anion corrections ... -49.98 eV per formula unit

```
AlB2Pb6O7F7
1.0
-3.953 3.712 -3.121
-7.170 -0.829 8.093
6.958 8.256 1.007
F Pb O B Al
14 12 14 4 2
Cartesian
3.553 7.276 1.727
3.279 9.695 -0.253
2.184 5.084 1.819
-5.669 1.421 4.580
-6.325 0.393 7.115
-5.246 3.433 2.994
-0.485 5.993 2.680
-4.893 6.286 2.339
-5.717 3.098 6.634
-5.292 5.064 4.993
2.137 6.715 3.818
0.778 10.401 0.825
0.825 8.724 -1.230
-7.271 3.443 4.604
-4.141 6.693 6.959
-2.327 1.244 4.179
-2.121 11.119 3.394
-2.977 4.871 3.538
-4.003 1.860 1.037
-3.009 7.978 1.002
-8.373 1.496 6.168
-1.983 6.286 -2.528
0.049 5.899 0.436
-0.016 8.185 3.237
2.268 11.466 -1.722
-2.392 3.530 6.981
-2.332 8.259 3.355
-4.080 7.599 4.885
-0.029 3.488 1.137
-1.841 2.889 2.616
-2.261 5.745 0.275
-3.980 4.074 0.567
-2.796 4.285 -1.516
-0.129 7.012 5.456
-1.684 1.872 0.478
-0.647 8.105 0.953
-3.580 3.092 4.976
-2.950 9.708 5.129
-1.912 5.402 5.696
-1.838 7.296 7.123
-1.157 2.755 1.417
-3.126 8.495 4.467
-3.018 4.685 -0.201
-1.265 6.565 6.086
-0.461 9.554 -0.225
-5.445 3.222 4.827
```